(1)
InTeCl2: optimized geometry, PBEsol.

crystal system: orthorhombic
relative energy among the computed polymorphs: 0.132 eV/atom

The structure in CIF format:
```
data_InTeCl2
_chemical_formula_sum 'In2 Te2 Cl4'
_symmetry_space_group_name_H-M 'I m m 2'
_symmetry_Int_Tables_number 44
_symmetry_space_group_name_Hall 'I 2 -2'
_cell_length_a 3.431
_cell_length_b 4.623
_cell_length_c 13.165
_cell_angle_alpha 90.00
_cell_angle_beta 90.00
_cell_angle_gamma 90.00
loop_
_atom_site_label
_atom_site_type_symbol
_atom_site_fract_x
_atom_site_fract_y
_atom_site_fract_z
In1 In 0.000 0.000 0.000
Te1 Te 0.000 0.500 0.703
Cl1 Cl 0.000 0.000 0.460
Cl2 Cl 0.000 0.500 0.217
```

---

(2)
TiInCl2: optimized geometry, PBEsol.

crystal system: trigonal

The structure in CIF format:
```
data_TiInCl2
_chemical_formula_sum 'Ti3 In3 Cl6'
_symmetry_space_group_name_H-M 'R -3 m'
_symmetry_Int_Tables_number 166
_symmetry_space_group_name_Hall '-R 3 2"'
_cell_length_a 3.1997
_cell_length_b 3.1997
_cell_length_c 28.6268
_cell_angle_alpha 90.00
_cell_angle_beta 90.00
_cell_angle_gamma 120.00
loop_
_atom_site_label
_atom_site_type_symbol
_atom_site_fract_x
_atom_site_fract_y
_atom_site_fract_z
Ti1 Ti 0.0000 0.0000 0.0000
In1 In 0.0000 0.0000 0.5000
Cl1 Cl 0.0000 0.0000 0.3897
```

---

no.,calculated total energy (eV per atom)
1,-2.93
2,-4.83